Compound: Na2VBPO7
Source: Alexandria
Functional: PBE+U
Structure: relaxed

DFT total energy in eV per cell: -165.3
Theoretical density in Mg/m³: 2.56

CIF file:
```
data_Na2VBPO7
_symmetry_space_group_name_H-M 'P 1 21/m 1'
_symmetry_Int_Tables_number 11
_symmetry_space_group_name_Hall '-P 2yb'
_cell_length_a 5.5047
_cell_length_b 6.3896
_cell_length_c 9.2758
_cell_angle_alpha 90.00
_cell_angle_beta 93.54
_cell_angle_gamma 90.00
loop_
_atom_site_label
_atom_site_fract_x
_atom_site_fract_y
_atom_site_fract_z
Na1 0.2400 0.0031 0.2879
V1 0.2197 0.7500 0.8379
B1 0.2710 0.7500 0.5824
P1 0.2732 0.2500 0.9425
O1 0.0476 0.7500 0.6539
O2 0.1292 0.2500 0.0794
O3 0.2008 0.0548 0.8481
O4 0.3029 0.7500 0.4443
O5 0.4476 0.7500 0.0228
O6 0.4573 0.7500 0.6994
```